1.
The following is a DFT calculation (GGA-PBE) of crystalline Ce3Dy4YSe8 at its relaxed geometry.

Cell and atoms, written as CIF:
```
data_Ce3Dy4YSe8
_space_group_name_H-M_alt 'P 1'
_space_group_IT_number 1
_cell_length_a 8.228
_cell_length_b 8.271
_cell_length_c 8.228
_cell_angle_alpha 119.83
_cell_angle_beta 120.00
_cell_angle_gamma 90.00
loop_
_space_group_symop_operation_xyz
'x,y,z'
loop_
_atom_site_label
_atom_site_type_symbol
_atom_site_fract_x
_atom_site_fract_y
_atom_site_fract_z
Se1 Se 0.750 0.242 0.499
Se2 Se 0.250 0.758 0.007
Se3 Se 0.246 0.238 0.492
Se4 Se 0.243 0.242 0.993
Se5 Se 0.750 0.242 0.993
Se6 Se 0.754 0.762 0.508
Se7 Se 0.757 0.758 0.007
Se8 Se 0.250 0.758 0.501
Ce1 Ce 0.500 0.500 0.500
Ce2 Ce 0.500 0.500 0.000
Ce3 Ce 0.000 0.500 0.500
Dy1 Dy 0.000 0.000 0.000
Dy2 Dy 0.500 0.000 0.500
Dy3 Dy 0.000 0.000 0.500
Dy4 Dy 0.500 0.000 0.000
Y1 Y 0.000 0.500 0.000
```

Values from the calculation:
- E (eV per cell) = -99.129
- crystal system = trigonal
- calculated volume (Å³/atom) = 24.8
- E_form (uncorrected) (meV/atom) = -1786
- space group = R-3m (166)
- density of states at the Fermi level (states/eV/atom) = 1.331


2.
The following is a DFT calculation (GGA-PBE) of crystalline CeDy4Si4 at its relaxed geometry.

Cell and atoms, written as CIF:
```
data_CeDy4Si4
_space_group_name_H-M_alt 'P 1'
_space_group_IT_number 1
_cell_length_a 5.733
_cell_length_b 9.175
_cell_length_c 9.175
_cell_angle_alpha 90.00
_cell_angle_beta 90.00
_cell_angle_gamma 90.00
loop_
_space_group_symop_operation_xyz
'x,y,z'
loop_
_atom_site_label
_atom_site_type_symbol
_atom_site_fract_x
_atom_site_fract_y
_atom_site_fract_z
Si1 Si 0.380 0.352 0.214
Si2 Si 0.380 0.648 0.786
Si3 Si 0.880 0.714 0.148
Si4 Si 0.620 0.786 0.352
Si5 Si 0.120 0.148 0.286
Si6 Si 0.880 0.286 0.852
Si7 Si 0.620 0.214 0.648
Si8 Si 0.120 0.852 0.714
Dy1 Dy 0.878 0.397 0.157
Dy2 Dy 0.378 0.343 0.897
Dy3 Dy 0.122 0.157 0.603
Dy4 Dy 0.622 0.103 0.343
Dy5 Dy 0.878 0.603 0.843
Dy6 Dy 0.122 0.843 0.397
Dy7 Dy 0.378 0.657 0.103
Dy8 Dy 0.622 0.897 0.657
Ce1 Ce 0.500 0.500 0.500
Ce2 Ce 0.000 0.000 0.000
```

Values from the calculation:
- E (eV per cell) = -99.884
- crystal system = tetragonal
- calculated volume (Å³/atom) = 26.8
- E_form (uncorrected) (meV/atom) = -434
- space group = P4_2/n (86)
- density of states at the Fermi level (states/eV/atom) = 1.600


3.
The following is a DFT calculation (GGA-PBE) of crystalline CeDySi at its relaxed geometry.

Cell and atoms, written as CIF:
```
data_CeDySi
_space_group_name_H-M_alt 'P 1'
_space_group_IT_number 1
_cell_length_a 4.059
_cell_length_b 4.680
_cell_length_c 4.680
_cell_angle_alpha 120.00
_cell_angle_beta 90.00
_cell_angle_gamma 90.00
loop_
_space_group_symop_operation_xyz
'x,y,z'
loop_
_atom_site_label
_atom_site_type_symbol
_atom_site_fract_x
_atom_site_fract_y
_atom_site_fract_z
Ce1 Ce 0.034 0.000 0.000
Si1 Si 0.385 0.333 0.667
Dy1 Dy 0.581 0.667 0.333
```

Values from the calculation:
- E (eV per cell) = -16.644
- crystal system = trigonal
- relative energy among the computed polymorphs (meV per atom) = 357
- calculated volume (Å³/atom) = 25.7
- E_form (uncorrected) (meV/atom) = -229
- space group = P3m1 (156)
- density of states at the Fermi level (states/eV/atom) = 2.323


4.
The following is a DFT calculation (GGA-PBE) of crystalline CeDy2Si4 at its relaxed geometry.

Cell and atoms, written as CIF:
```
data_CeDy2Si4
_space_group_name_H-M_alt 'P 1'
_space_group_IT_number 1
_cell_length_a 3.900
_cell_length_b 4.272
_cell_length_c 9.217
_cell_angle_alpha 103.40
_cell_angle_beta 102.22
_cell_angle_gamma 90.00
loop_
_space_group_symop_operation_xyz
'x,y,z'
loop_
_atom_site_label
_atom_site_type_symbol
_atom_site_fract_x
_atom_site_fract_y
_atom_site_fract_z
Si1 Si 0.934 0.434 0.868
Si2 Si 0.351 0.351 0.703
Si3 Si 0.066 0.566 0.132
Si4 Si 0.649 0.649 0.297
Dy1 Dy 0.183 0.183 0.366
Dy2 Dy 0.817 0.817 0.634
Ce1 Ce 0.500 0.000 0.000
```

Values from the calculation:
- E (eV per cell) = -42.214
- crystal system = orthorhombic
- calculated volume (Å³/atom) = 20.8
- E_form (uncorrected) (meV/atom) = -769
- space group = Immm (71)
- density of states at the Fermi level (states/eV/atom) = 0.738


5.
The following is a DFT calculation (GGA-PBE) of crystalline CeDySi4 at its relaxed geometry.

Cell and atoms, written as CIF:
```
data_CeDySi4
_space_group_name_H-M_alt 'P 1'
_space_group_IT_number 1
_cell_length_a 4.027
_cell_length_b 4.027
_cell_length_c 7.717
_cell_angle_alpha 105.12
_cell_angle_beta 105.12
_cell_angle_gamma 90.00
loop_
_space_group_symop_operation_xyz
'x,y,z'
loop_
_atom_site_label
_atom_site_type_symbol
_atom_site_fract_x
_atom_site_fract_y
_atom_site_fract_z
Si1 Si 0.834 0.334 0.668
Si2 Si 0.666 0.166 0.332
Si3 Si 0.418 0.418 0.836
Si4 Si 0.582 0.582 0.164
Ce1 Ce 0.250 0.750 0.500
Dy1 Dy 0.000 0.000 0.000
```

Values from the calculation:
- E (eV per cell) = -35.879
- crystal system = tetragonal
- calculated volume (Å³/atom) = 19.4
- E_form (uncorrected) (meV/atom) = -609
- space group = I-4m2 (119)
- density of states at the Fermi level (states/eV/atom) = 0.890


6.
The following is a DFT calculation (GGA-PBE) of crystalline Ce4Dy3Si4 at its relaxed geometry.

Cell and atoms, written as CIF:
```
data_Ce4Dy3Si4
_space_group_name_H-M_alt 'P 1'
_space_group_IT_number 1
_cell_length_a 3.672
_cell_length_b 8.552
_cell_length_c 9.820
_cell_angle_alpha 115.81
_cell_angle_beta 100.78
_cell_angle_gamma 90.00
loop_
_space_group_symop_operation_xyz
'x,y,z'
loop_
_atom_site_label
_atom_site_type_symbol
_atom_site_fract_x
_atom_site_fract_y
_atom_site_fract_z
Ce1 Ce 0.329 0.492 0.658
Ce2 Ce 0.329 0.166 0.658
Ce3 Ce 0.671 0.508 0.342
Ce4 Ce 0.671 0.834 0.342
Dy1 Dy 0.906 0.906 0.812
Dy2 Dy 0.094 0.094 0.188
Dy3 Dy 0.000 0.500 0.000
Si1 Si 0.500 0.223 0.000
Si2 Si 0.722 0.222 0.443
Si3 Si 0.278 0.778 0.557
Si4 Si 0.500 0.777 0.000
```

Values from the calculation:
- E (eV per cell) = -64.763
- crystal system = orthorhombic
- calculated volume (Å³/atom) = 24.7
- E_form (uncorrected) (meV/atom) = -503
- space group = Immm (71)
- density of states at the Fermi level (states/eV/atom) = 1.634


7.
The following is a DFT calculation (GGA-PBE) of crystalline CeDySi at its relaxed geometry.

Cell and atoms, written as CIF:
```
data_CeDySi
_space_group_name_H-M_alt 'P 1'
_space_group_IT_number 1
_cell_length_a 4.878
_cell_length_b 4.878
_cell_length_c 4.878
_cell_angle_alpha 60.00
_cell_angle_beta 60.00
_cell_angle_gamma 60.00
loop_
_space_group_symop_operation_xyz
'x,y,z'
loop_
_atom_site_label
_atom_site_type_symbol
_atom_site_fract_x
_atom_site_fract_y
_atom_site_fract_z
Dy1 Dy 0.000 0.000 0.000
Ce1 Ce 0.500 0.500 0.500
Si1 Si 0.250 0.250 0.250
```

Values from the calculation:
- E (eV per cell) = -17.005
- crystal system = cubic
- relative energy among the computed polymorphs (meV per atom) = 237
- calculated volume (Å³/atom) = 27.4
- E_form (uncorrected) (meV/atom) = -349
- space group = F-43m (216)
- density of states at the Fermi level (states/eV/atom) = 2.663


8.
The following is a DFT calculation (GGA-PBE) of crystalline Ce2Dy5Si4 at its relaxed geometry.

Cell and atoms, written as CIF:
```
data_Ce2Dy5Si4
_space_group_name_H-M_alt 'P 1'
_space_group_IT_number 1
_cell_length_a 3.429
_cell_length_b 6.858
_cell_length_c 12.746
_cell_angle_alpha 87.31
_cell_angle_beta 97.73
_cell_angle_gamma 90.00
loop_
_space_group_symop_operation_xyz
'x,y,z'
loop_
_atom_site_label
_atom_site_type_symbol
_atom_site_fract_x
_atom_site_fract_y
_atom_site_fract_z
Dy1 Dy 0.500 0.000 0.000
Dy2 Dy 0.871 0.202 0.742
Dy3 Dy 0.238 0.245 0.475
Dy4 Dy 0.762 0.755 0.525
Dy5 Dy 0.129 0.798 0.258
Si1 Si 0.674 0.499 0.349
Si2 Si 0.326 0.501 0.651
Si3 Si 0.978 0.351 0.956
Si4 Si 0.022 0.649 0.044
Ce1 Ce 0.096 0.295 0.191
Ce2 Ce 0.904 0.705 0.809
```

Values from the calculation:
- E (eV per cell) = -58.865
- crystal system = monoclinic
- calculated volume (Å³/atom) = 27.0
- E_form (uncorrected) (meV/atom) = -209
- space group = C2/m (12)
- density of states at the Fermi level (states/eV/atom) = 1.648